1.
! TlHg12 | Alexandria via LeMat-Bulk | GGA-PBE | relaxed; values from VASP
&SYSTEM
  ibrav = 0, nat = 13, ntyp = 2
/
ATOMIC_SPECIES
Tl 204.38 Tl.upf
Hg 200.59 Hg.upf
ATOMIC_POSITIONS crystal
Tl 0.500 0.500 0.500
Hg 0.500 0.000 0.250
Hg 0.750 0.500 0.000
Hg 0.500 0.250 0.000
Hg 0.000 0.750 0.500
Hg 0.000 0.500 0.250
Hg 0.000 0.250 0.500
Hg 0.250 0.000 0.500
Hg 0.000 0.500 0.750
Hg 0.750 0.000 0.500
Hg 0.500 0.000 0.750
Hg 0.250 0.500 0.000
Hg 0.500 0.750 0.000
CELL_PARAMETERS angstrom
-4.238 -5.073 5.387
7.275 -1.724 4.100
-1.350 6.634 5.185
! Polymorph energy (0 for the lowest one) = 17 meV/atom
! Space group = No. 221
! Energy of formation from the pure elements = 183 meV/atom
! Mass density = 7.0 g cm⁻³


2.
! Rb2AsP | Alexandria via LeMat-Bulk | GGA-PBE | relaxed; values from VASP
&SYSTEM
  ibrav = 0, nat = 4, ntyp = 3
/
ATOMIC_SPECIES
Rb 85.47 Rb.upf
As 74.92 As.upf
P 30.97 P.upf
ATOMIC_POSITIONS crystal
Rb 0.750 0.750 0.750
Rb 0.250 0.250 0.250
As 0.500 0.500 0.500
P 0.000 0.000 0.000
CELL_PARAMETERS angstrom
0.000 4.045 4.045
4.045 0.000 4.045
4.045 4.045 0.000
! Polymorph energy (0 for the lowest one) = 677 meV/atom
! Space group = No. 225
! Energy of formation from the pure elements = 379 meV/atom
! Mass density = 3.5 g cm⁻³


3.
! Be2AlFe | Alexandria via LeMat-Bulk | GGA-PBE | relaxed; values from VASP
&SYSTEM
  ibrav = 0, nat = 4, ntyp = 3
/
ATOMIC_SPECIES
Be 9.01 Be.upf
Al 26.98 Al.upf
Fe 55.84 Fe.upf
ATOMIC_POSITIONS crystal
Be 0.000 0.000 0.000
Be 0.500 0.500 0.000
Al 0.000 0.500 0.500
Fe 0.500 0.000 0.500
CELL_PARAMETERS angstrom
-2.065 -2.837 -2.972
4.595 0.160 -0.090
0.612 -2.215 0.889
! Space group = No. 12
! Energy of formation from the pure elements = 3 meV/atom
! Mass density = 3.9 g cm⁻³


4.
! TbHgGeBr6 | Alexandria via LeMat-Bulk | GGA-PBE | relaxed; values from VASP
&SYSTEM
  ibrav = 0, nat = 9, ntyp = 4
/
ATOMIC_SPECIES
Br 79.90 Br.upf
Hg 200.59 Hg.upf
Tb 158.93 Tb.upf
Ge 72.64 Ge.upf
ATOMIC_POSITIONS crystal
Br 0.358 0.644 0.269
Br 0.644 0.997 0.269
Br 0.644 0.358 0.731
Br 0.358 0.998 0.731
Br 0.998 0.358 0.269
Br 0.998 0.644 0.731
Hg 0.000 0.000 0.000
Tb 0.333 0.333 0.500
Ge 0.667 0.667 0.500
CELL_PARAMETERS angstrom
7.219 0.001 0.000
3.610 6.252 0.000
-0.001 -0.004 6.918
! Formation energy (no corrections) = -1.02 eV/atom
! Space group = No. 149
! Mass density = 4.8 g cm⁻³


| no. | magnetization (μB/atom) |
| --- | --- |
| 1 | 0.0000 |
| 2 | 0.0000 |
| 3 | 0.3623 |
| 4 | 0.0000 |